No. 1
DFT (PBE) results for Li2CrMo after structural relaxation.

a b c (Å): 4.9006 4.9006 4.9006
angles (deg): 143.78 122.47 69.90
Each line ends with the local moment (μB).
Positions (direct):
Mo  0.4807  0.4807  0.0000  -0.62
Li  0.7589  0.2589  0.5000  0.01
Li  0.9962  0.9962  0.0000  0.01
Cr  0.2642  0.7642  0.5000  1.75

Output
- relative energy among the computed polymorphs (eV per atom) = 0.265

No. 2
DFT (PBE) results for LiCrMo2 after structural relaxation.

a b c (Å): 2.5021 4.3330 5.2754
angles (deg): 90.00 90.00 90.00
Positions (direct):
Mo  0.0000  0.0000  0.9859
Mo  0.5000  0.5000  0.2592
Li  0.5000  0.5000  0.7484
Cr  0.0000  0.0000  0.5064

Output
- relative energy among the computed polymorphs (eV per atom) = 0.195

No. 3
DFT (PBE) results for Li3CrMo after structural relaxation.

a b c (Å): 4.4452 4.4452 4.4452
angles (deg): 90.00 90.00 90.00
Each line ends with the local moment (μB).
Positions (direct):
Mo  0.5000  0.5000  0.5000  1.52
Li  0.0000  0.5000  0.0000  0.01
Li  0.5000  0.0000  0.0000  0.03
Li  0.0000  0.0000  0.5000  0.01
Cr  0.0000  0.0000  0.0000  3.88

Output
- relative energy among the computed polymorphs (eV per atom) = 0.000

No. 4
DFT (PBE) results for Li2CrMo after structural relaxation.

a b c (Å): 2.4744 4.7190 4.8447
angles (deg): 90.00 90.00 90.00
Each line ends with the local moment (μB).
Positions (direct):
Li  0.0000  0.0000  0.5030  0.00
Li  0.0000  0.0000  0.9970  0.00
Cr  0.5000  0.5000  0.7500  1.06
Mo  0.5000  0.5000  0.2500  -0.17

Output
- relative energy among the computed polymorphs (eV per atom) = 0.214

No. 5
DFT (PBE) results for LiCrMo3 after structural relaxation.

a b c (Å): 4.5100 4.5100 4.5100
angles (deg): 90.00 90.00 90.00
Positions (direct):
Mo  0.0000  0.5000  0.0000
Mo  0.5000  0.0000  0.0000
Mo  0.0000  0.0000  0.5000
Li  0.5000  0.5000  0.5000
Cr  0.0000  0.0000  0.0000

Output
- relative energy among the computed polymorphs (eV per atom) = 0.000

No. 6
DFT (PBE) results for Li2CrMo after structural relaxation.

a b c (Å): 2.4612 2.4612 9.3964
angles (deg): 90.00 90.00 90.00
Each line ends with the local moment (μB).
Positions (direct):
Li  0.0000  0.0000  0.9930  0.00
Li  0.0000  0.0000  0.5070  0.00
Cr  0.5000  0.5000  0.7500  0.24
Mo  0.5000  0.5000  0.2500  -0.01

Output
- relative energy among the computed polymorphs (eV per atom) = 0.261

No. 7
DFT (PBE) results for Li2CrMo after structural relaxation.

a b c (Å): 9.8570 9.8570 9.8570
angles (deg): 15.49 15.49 15.49
Each line ends with the local moment (μB).
Positions (direct):
Li  0.0049  0.0049  0.0049  0.00
Li  0.2482  0.2482  0.2482  0.00
Mo  0.4962  0.4962  0.4962  0.00
Cr  0.7507  0.7507  0.7507  0.11

Output
- relative energy among the computed polymorphs (eV per atom) = 0.118

No. 8
DFT (PBE) results for LiCrMo after structural relaxation.

a b c (Å): 4.5821 4.5821 4.5821
angles (deg): 149.03 124.12 65.27
Positions (direct):
Mo  0.6685  0.6685  0.0000
Li  0.3335  0.3335  0.0000
Cr  0.9979  0.9979  0.0000

Output
- relative energy among the computed polymorphs (eV per atom) = 0.059

No. 9
DFT (PBE) results for Li2CrMo after structural relaxation.

a b c (Å): 4.4822 4.4822 5.4457
angles (deg): 89.56 89.56 31.74
Positions (direct):
Li  0.9985  0.9985  0.0047
Li  0.2524  0.2524  0.2402
Cr  0.7433  0.7433  0.7262
Mo  0.5059  0.5059  0.5289

Output
- relative energy among the computed polymorphs (eV per atom) = 0.188

No. 10
DFT (PBE) results for LiCrMo2 after structural relaxation.

a b c (Å): 3.1509 3.1509 5.6681
angles (deg): 90.00 90.00 90.00
Each line ends with the local moment (μB).
Positions (direct):
Mo  0.0000  0.0000  0.9933  -0.01
Mo  0.5000  0.5000  0.2577  -0.25
Li  0.5000  0.5000  0.7416  -0.02
Cr  0.0000  0.0000  0.5074  1.55

Output
- relative energy among the computed polymorphs (eV per atom) = 0.179

No. 11
DFT (PBE) results for LiCrMo3 after structural relaxation.

a b c (Å): 4.1782 4.1782 4.1782
angles (deg): 90.00 90.00 90.00
Positions (direct):
Cr  0.5000  0.5000  0.5000
Li  0.0000  0.0000  0.0000
Mo  0.0000  0.0000  0.5000
Mo  0.0000  0.5000  0.0000
Mo  0.5000  0.0000  0.0000

Output
- relative energy among the computed polymorphs (eV per atom) = 0.250

No. 12
DFT (PBE) results for Li2CrMo after structural relaxation.

a b c (Å): 2.6738 2.6738 9.1065
angles (deg): 90.00 90.00 110.88
Positions (direct):
Mo  0.0000  0.0000  0.5234
Li  0.0000  0.0000  0.9807
Li  0.5000  0.5000  0.2604
Cr  0.5000  0.5000  0.7355

Output
- relative energy among the computed polymorphs (eV per atom) = 0.000

No. 13
DFT (PBE) results for LiCrMo2 after structural relaxation.

a b c (Å): 4.2429 2.5822 5.2398
angles (deg): 79.93 90.00 90.00
Positions (direct):
Mo  0.0000  0.9885  0.0080
Mo  0.0000  0.5115  0.4920
Cr  0.5000  0.2500  0.2500
Li  0.5000  0.7500  0.7500

Output
- relative energy among the computed polymorphs (eV per atom) = 0.076

No. 14
DFT (PBE) results for LiCrMo2 after structural relaxation.

a b c (Å): 6.7011 6.7011 5.4228
angles (deg): 51.84 51.84 90.00
Positions (direct):
Mo  0.3750  0.3558  0.7500
Mo  0.6442  0.1250  0.2500
Mo  0.1058  0.6250  0.2500
Mo  0.8750  0.8942  0.7500
Cr  0.0000  0.0000  0.0000
Cr  0.7500  0.2500  0.5000
Li  0.2500  0.7500  0.5000
Li  0.5000  0.5000  0.0000

Output
- relative energy among the computed polymorphs (eV per atom) = 0.541

No. 15
DFT (PBE) results for Li4CrMo after structural relaxation.

a b c (Å): 4.9441 4.9441 4.9441
angles (deg): 60.00 60.00 60.00
Each line ends with the local moment (μB).
Positions (direct):
Li  0.8751  0.3750  0.3750  0.01
Li  0.3750  0.8751  0.3750  0.01
Li  0.3750  0.3750  0.8751  0.01
Li  0.3750  0.3750  0.3750  0.01
Mo  0.7500  0.7500  0.7500  -1.86
Cr  0.0000  0.0000  0.0000  3.40

Output
- uncorrected energy (eV per atom) = -4.140

No. 16
DFT (PBE) results for LiCrMo2 after structural relaxation.

a b c (Å): 4.9725 4.9725 2.5414
angles (deg): 90.00 90.00 115.13
Each line ends with the local moment (μB).
Positions (direct):
Mo  0.5000  0.5000  0.0000  -0.04
Mo  0.0000  0.0000  0.0000  -0.04
Li  0.0000  0.5000  0.5000  0.00
Cr  0.5000  0.0000  0.5000  0.24

Output
- relative energy among the computed polymorphs (eV per atom) = 0.183

No. 17
DFT (PBE) results for Li2Cr2Mo after structural relaxation.

a b c (Å): 3.3927 3.3927 5.7493
angles (deg): 72.84 72.84 90.00
Positions (direct):
Cr  0.2500  0.7500  0.5000
Cr  0.7500  0.2500  0.5000
Li  0.4100  0.4100  0.1801
Li  0.5900  0.5900  0.8199
Mo  0.0000  0.0000  0.0000

Output
- relative energy among the computed polymorphs (eV per atom) = 0.089

No. 18
DFT (PBE) results for LiCrMo2 after structural relaxation.

a b c (Å): 2.9707 2.9707 6.3850
angles (deg): 90.00 90.00 90.00
Positions (direct):
Mo  0.0000  0.0000  0.4802
Mo  0.0000  0.0000  0.0198
Cr  0.5000  0.5000  0.2500
Li  0.5000  0.5000  0.7500

Output
- relative energy among the computed polymorphs (eV per atom) = 0.173

No. 19
DFT (PBE) results for LiCrMo2 after structural relaxation.

a b c (Å): 4.9948 4.9948 4.9948
angles (deg): 143.87 128.14 64.83
Positions (direct):
Mo  0.9819  0.9819  0.0000
Mo  0.5181  0.5181  0.0000
Li  0.2500  0.7500  0.5000
Cr  0.7500  0.2500  0.5000

Output
- relative energy among the computed polymorphs (eV per atom) = 0.149

No. 20
DFT (PBE) results for LiCrMo2 after structural relaxation.

a b c (Å): 2.6435 2.6435 8.9704
angles (deg): 90.00 90.00 108.77
Positions (direct):
Mo  0.5000  0.5000  0.2636
Mo  0.0000  0.0000  0.0076
Cr  0.0000  0.0000  0.4892
Li  0.5000  0.5000  0.7397

Output
- relative energy among the computed polymorphs (eV per atom) = 0.050

No. 21
DFT (PBE) results for LiCrMo2 after structural relaxation.

a b c (Å): 5.0186 5.0186 5.0186
angles (deg): 144.42 129.34 63.43
Positions (direct):
Li  0.2597  0.7597  0.5000
Mo  0.9924  0.9924  0.0000
Mo  0.7350  0.2350  0.5000
Cr  0.5129  0.5129  0.0000

Output
- relative energy among the computed polymorphs (eV per atom) = 0.146

No. 22
DFT (PBE) results for Li2CrMo after structural relaxation.

a b c (Å): 4.7378 3.4436 3.4436
angles (deg): 90.00 90.00 90.00
Each line ends with the local moment (μB).
Positions (direct):
Mo  0.5000  0.5000  0.0000  -0.57
Cr  0.5000  0.0000  0.5000  1.30
Li  0.0000  0.0000  0.0000  -0.01
Li  0.0000  0.5000  0.5000  -0.01

Output
- relative energy among the computed polymorphs (eV per atom) = 0.164

No. 23
DFT (PBE) results for Li2CrMo after structural relaxation.

a b c (Å): 4.8366 2.5065 4.7683
angles (deg): 78.66 90.00 90.00
Each line ends with the local moment (μB).
Positions (direct):
Cr  0.5000  0.7500  0.7500  1.21
Li  0.0000  0.5330  0.5030  -0.01
Li  0.0000  0.9670  0.9970  -0.01
Mo  0.5000  0.2500  0.2500  -0.21

Output
- relative energy among the computed polymorphs (eV per atom) = 0.148

No. 24
DFT (PBE) results for LiCrMo2 after structural relaxation.

a b c (Å): 2.6349 2.6349 8.9468
angles (deg): 90.00 90.00 108.60
Positions (direct):
Mo  0.0000  0.0000  0.0189
Mo  0.0000  0.0000  0.4811
Li  0.5000  0.5000  0.7500
Cr  0.5000  0.5000  0.2500

Output
- relative energy among the computed polymorphs (eV per atom) = 0.000

No. 25
DFT (PBE) results for Li2CrMo after structural relaxation.

a b c (Å): 4.2213 2.4504 5.6074
angles (deg): 82.99 90.00 90.00
Positions (direct):
Cr  0.5000  0.7680  0.7233
Li  0.0000  0.0046  0.0057
Li  0.5000  0.2209  0.2398
Mo  0.0000  0.5065  0.5312

Output
- relative energy among the computed polymorphs (eV per atom) = 0.120

No. 26
DFT (PBE) results for LiCrMo after structural relaxation.

a b c (Å): 4.3159 4.3159 2.4930
angles (deg): 90.00 90.00 120.00
Each line ends with the local moment (μB).
Positions (direct):
Li  0.6667  0.3333  0.3132  0.00
Cr  0.0000  0.0000  0.0025  0.41
Mo  0.3333  0.6667  0.6843  -0.07

Output
- relative energy among the computed polymorphs (eV per atom) = 0.015

No. 27
DFT (PBE) results for LiCrMo after structural relaxation.

a b c (Å): 4.7406 4.7406 4.7406
angles (deg): 141.32 141.32 55.85
Each line ends with the local moment (μB).
Positions (direct):
Mo  0.6526  0.6526  0.0000  -0.66
Cr  0.0107  0.0107  0.0000  1.40
Li  0.3367  0.3367  0.0000  0.00

Output
- relative energy among the computed polymorphs (eV per atom) = 0.105

No. 28
DFT (PBE) results for Li2CrMo after structural relaxation.

a b c (Å): 4.1412 4.1412 4.1412
angles (deg): 60.00 60.00 60.00
Positions (direct):
Li  0.2500  0.2500  0.2500
Li  0.7500  0.7500  0.7500
Mo  0.5000  0.5000  0.5000
Cr  0.0000  0.0000  0.0000

Output
- relative energy among the computed polymorphs (eV per atom) = 0.695

No. 29
DFT (PBE) results for Li2Cr2Mo after structural relaxation.

a b c (Å): 7.2726 7.2726 2.5098
angles (deg): 90.00 90.00 90.00
Each line ends with the local moment (μB).
Positions (direct):
Cr  0.6930  0.8070  0.5000  1.83
Cr  0.3070  0.1930  0.5000  1.83
Cr  0.8070  0.3070  0.5000  1.81
Cr  0.1930  0.6930  0.5000  1.81
Li  0.6075  0.1075  0.0000  0.00
Li  0.8925  0.6075  0.0000  0.01
Li  0.3925  0.8925  0.0000  0.00
Li  0.1075  0.3925  0.0000  0.01
Mo  0.0000  0.0000  0.0000  -0.43
Mo  0.5000  0.5000  0.0000  -0.43

Output
- relative energy among the computed polymorphs (eV per atom) = 0.000

No. 30
DFT (PBE) results for LiCrMo2 after structural relaxation.

a b c (Å): 5.2277 5.0438 2.5684
angles (deg): 80.75 79.56 118.17
Each line ends with the local moment (μB).
Positions (direct):
Mo  0.0000  0.0000  0.0000  -0.01
Mo  0.5000  0.0000  0.5000  -0.01
Li  0.5000  0.5000  0.0000  0.00
Cr  0.0000  0.5000  0.5000  0.10

Output
- relative energy among the computed polymorphs (eV per atom) = 0.098